Entry 1:
{"formula": "Be6PtRh5", "functional": "PBE", "state": "optimized geometry", "crystal_system": "orthorhombic", "delta_e_f_mev_per_atom": -671, "lattice_angstrom": [[-1.969, 2.793, 5.943], [1.969, -2.793, 5.943], [1.969, 2.793, -5.943]], "species": ["Be", "Be", "Be", "Be", "Be", "Be", "Pt", "Rh", "Rh", "Rh", "Rh", "Rh"], "fractional_positions": [[0.078, 0.332, 0.746], [0.243, 0.000, 0.243], [0.414, 0.668, 0.746], [0.586, 0.332, 0.254], [0.757, 0.000, 0.757], [0.922, 0.668, 0.254], [0.500, 0.500, 0.000], [0.000, 0.500, 0.500], [0.168, 0.168, 0.000], [0.334, 0.834, 0.500], [0.666, 0.166, 0.500], [0.832, 0.832, 0.000]]}

***

Entry 2:
{"formula": "Pm4P3S", "functional": "PBE", "state": "optimized geometry", "crystal_system": "tetragonal", "raw_formation_energy_kj_per_mol_atoms": -167.4, "lattice_angstrom": [[5.811, 0.000, 0.000], [0.000, 5.811, 0.000], [0.000, 0.000, 11.623]], "species": ["Pm", "Pm", "Pm", "Pm", "Pm", "Pm", "Pm", "Pm", "P", "P", "P", "P", "P", "P", "S", "S"], "fractional_positions": [[0.000, 0.000, 0.247], [0.000, 0.000, 0.753], [0.000, 0.500, 0.000], [0.000, 0.500, 0.500], [0.500, 0.000, 0.000], [0.500, 0.000, 0.500], [0.500, 0.500, 0.253], [0.500, 0.500, 0.747], [0.000, 0.000, 0.000], [0.000, 0.500, 0.250], [0.000, 0.500, 0.750], [0.500, 0.000, 0.250], [0.500, 0.000, 0.750], [0.500, 0.500, 0.500], [0.000, 0.000, 0.500], [0.500, 0.500, 0.000]]}

***

Entry 3:
{"formula": "Ca3ThAu4", "functional": "PBE", "state": "optimized geometry", "crystal_system": "trigonal", "delta_e_f_mev_per_atom": -752, "lattice_angstrom": [[2.598, 1.500, 8.457], [-2.598, 1.500, 8.457], [0.000, -3.000, 8.457]], "species": ["Ca", "Ca", "Ca", "Th", "Au", "Au", "Au", "Au"], "fractional_positions": [[0.000, 0.000, 0.000], [0.254, 0.254, 0.254], [0.746, 0.746, 0.746], [0.500, 0.500, 0.500], [0.131, 0.131, 0.131], [0.379, 0.379, 0.379], [0.621, 0.621, 0.621], [0.869, 0.869, 0.869]]}

***

Entry 4:
{"formula": "Fe3MoCl", "functional": "PBE", "state": "optimized geometry", "crystal_system": "cubic", "raw_formation_energy_kj_per_mol_atoms": 99.2, "lattice_angstrom": [[4.097, 0.000, 0.000], [0.000, 4.097, 0.000], [0.000, 0.000, 4.097]], "species": ["Fe", "Fe", "Fe", "Mo", "Cl"], "fractional_positions": [[0.000, 0.000, 0.500], [0.000, 0.500, 0.000], [0.500, 0.000, 0.000], [0.500, 0.500, 0.500], [0.000, 0.000, 0.000]]}